Material: PIr2Ru
Method: DFT, PBE-GGA
State: relaxed

Unit cell a=2.8036 b=2.8036 c=24.4892 alpha=90.00 beta=90.00 gamma=120.00
Closest atoms and distances in Å follow each position.
Fractional coordinates of all 12 atoms:
P 0.0000 0.0000 0.0000  6 Ir 2.44
P 0.3333 0.6667 0.6667  6 Ir 2.44
P 0.6667 0.3333 0.3333  6 Ir 2.44
Ir 0.0000 0.0000 0.2590  3 P 2.44
Ir 0.0000 0.0000 0.7410  3 P 2.44
Ir 0.3333 0.6667 0.4077  3 P 2.44
Ir 0.3333 0.6667 0.9257  3 P 2.44
Ir 0.6667 0.3333 0.0743  3 P 2.44
Ir 0.6667 0.3333 0.5923  3 P 2.44
Ru 0.0000 0.0000 0.5000  6 Ir 2.78, 6 Ru 2.80
Ru 0.3333 0.6667 0.1667  6 Ir 2.78, 6 Ru 2.80
Ru 0.6667 0.3333 0.8333  6 Ir 2.78, 6 Ru 2.80

## Properties
- Crystal system: trigonal
- Fermi-level density of states: 8.44 states/eV per cell
- Uncorrected energy: -97.29 eV/cell

=====

Material: PIrRu3
Method: DFT, PBE-GGA
State: relaxed

Unit cell a=4.2867 b=4.2867 c=4.2867 alpha=90.00 beta=90.00 gamma=90.00
Closest atoms and distances in Å follow each position.
Fractional coordinates of all 5 atoms:
P 0.0000 0.0000 0.0000  6 Ru 2.14
Ir 0.5000 0.5000 0.5000  12 Ru 3.03
Ru 0.0000 0.0000 0.5000  2 P 2.14
Ru 0.0000 0.5000 0.0000  2 P 2.14
Ru 0.5000 0.0000 0.0000  2 P 2.14

## Properties
- Crystal system: cubic
- Fermi-level density of states: 5.73 states/eV per cell
- Offset from the most stable computed form: 0.000 eV per atom
- Uncorrected energy: -38.60 eV/cell

=====

Material: PIrRu3
Method: DFT, PBE-GGA
State: relaxed

Unit cell a=4.6750 b=4.6750 c=4.6750 alpha=90.00 beta=90.00 gamma=90.00
Closest atoms and distances in Å follow each position.
Fractional coordinates of all 5 atoms:
P 0.0000 0.0000 0.0000  12 Ru 3.31
Ir 0.5000 0.5000 0.5000  6 Ru 2.34
Ru 0.0000 0.5000 0.5000  2 Ir 2.34
Ru 0.5000 0.0000 0.5000  2 Ir 2.34
Ru 0.5000 0.5000 0.0000  2 Ir 2.34

## Properties
- Crystal system: cubic
- Fermi-level density of states: 6.32 states/eV per cell
- Offset from the most stable computed form: 1.252 eV per atom
- Uncorrected energy: -32.34 eV/cell

=====

Material: PIr2Ru
Method: DFT, PBE-GGA
State: relaxed

Unit cell a=4.5659 b=4.5659 c=2.7351 alpha=90.00 beta=90.00 gamma=90.00
Closest atoms and distances in Å follow each position.
Fractional coordinates of all 4 atoms:
P 0.0000 0.0000 0.0000  8 Ir 2.66, 2 P 2.74
Ir 0.0000 0.5000 0.5000  4 Ru 2.66, 4 P 2.66, 2 Ir 2.74
Ir 0.5000 0.0000 0.5000  4 Ru 2.66, 4 P 2.66, 2 Ir 2.74
Ru 0.5000 0.5000 0.0000  8 Ir 2.66, 2 Ru 2.74

## Properties
- Crystal system: tetragonal
- Fermi-level density of states: 4.56 states/eV per cell
- Uncorrected energy: -31.11 eV/cell

=====

Material: PIr2Ru
Method: DFT, PBE-GGA
State: relaxed

Unit cell a=2.8267 b=4.2629 c=9.2285 alpha=90.00 beta=90.00 gamma=90.00
Closest atoms and distances in Å follow each position.
Fractional coordinates of all 8 atoms:
P 0.0000 0.0000 0.0000  2 Ru 2.33, 6 Ir 2.36-2.56
P 0.5000 0.5000 0.5000  2 Ru 2.33, 6 Ir 2.36-2.56
Ir 0.0000 0.0000 0.5037  4 P 2.56, 4 Ir 2.83, 2 Ru 2.85
Ir 0.0000 0.5000 0.7052  2 P 2.36
Ir 0.5000 0.0000 0.2052  2 P 2.36
Ir 0.5000 0.5000 0.0037  4 P 2.56, 4 Ir 2.83, 2 Ru 2.85
Ru 0.0000 0.5000 0.2995  2 P 2.33
Ru 0.5000 0.0000 0.7995  2 P 2.33

## Properties
- Crystal system: orthorhombic
- Fermi-level density of states: 6.09 states/eV per cell
- Uncorrected energy: -65.33 eV/cell

=====

Material: PIr2Ru
Method: DFT, PBE-GGA
State: relaxed

Unit cell a=5.2312 b=9.3451 c=2.7793 alpha=90.00 beta=121.63 gamma=90.00
Closest atoms and distances in Å follow each position.
Fractional coordinates of all 8 atoms:
P 0.0000 0.0000 0.0000  4 Ru 2.62-2.63, 4 Ir 2.68, 2 P 2.78
P 0.5000 0.5000 0.0000  4 Ru 2.62-2.63, 4 Ir 2.68, 2 P 2.78
Ir 0.2500 0.2500 0.5000  6 Ir 2.62-2.78, 2 Ru 2.68, 2 P 2.68
Ir 0.2500 0.7500 0.5000  6 Ir 2.62-2.78, 2 Ru 2.68, 2 P 2.68
Ir 0.7500 0.2500 0.5000  6 Ir 2.62-2.78, 2 Ru 2.68, 2 P 2.68
Ir 0.7500 0.7500 0.5000  6 Ir 2.62-2.78, 2 Ru 2.68, 2 P 2.68
Ru 0.0000 0.5000 0.0000  4 P 2.62-2.63, 4 Ir 2.68, 2 Ru 2.78
Ru 0.5000 0.0000 0.0000  4 P 2.62-2.63, 4 Ir 2.68, 2 Ru 2.78

## Properties
- Crystal system: monoclinic
- Fermi-level density of states: 9.42 states/eV per cell
- Uncorrected energy: -62.31 eV/cell

=====

Record order is preserved below.
Formation enthalpy at 0 K: -0.005, 0.701, 1.953, 0.325, -0.065, 0.313 eV/atom
Record order is preserved below.
Calculated volume: 166.7, 78.8, 102.2, 57.0, 111.2, 115.7 Å³ per cell